Material: Ce4GeSeS2
Method: DFT, PBE
State: relaxed

Density of states at the Fermi level (states/eV per cell): 19.3
Energy relative to the elements, uncorrected (eV per atom): -1.665

Geometry as POSCAR:
```
Ce4GeSeS2
1.0
4.129 0.000 0.000
0.000 7.133 -0.138
0.000 2.515 6.689
Ce Ge Se S
4 1 1 2
direct
0.000 0.763 0.744
0.000 0.237 0.256
0.500 0.761 0.247
0.500 0.239 0.753
0.000 0.500 0.500
0.500 0.500 0.000
0.000 0.000 0.000
0.500 0.000 0.500
```